1.
VASP calculation (GGA-PBE) on crystalline In5C at its relaxed geometry.

Calculated values
Crystal system = tetragonal
Total magnetization = 0.00 μB/atom

a = 3.2175 Å, b = 3.2175 Å, c = 13.3076 Å
α = 90.00°, β = 90.00°, γ = 90.00°
Space group P4/mmm (No. 123)
Unique sites:
1 In 0.0000 0.0000 0.0000 (multiplicity 1)
2 In 0.0000 0.0000 0.3908 (multiplicity 2)
3 In 0.5000 0.5000 0.1952 (multiplicity 2)
4 C 0.5000 0.5000 0.5000 (multiplicity 1)

2.
VASP calculation (GGA-PBE) on crystalline InC2 at its relaxed geometry.

Calculated values
Crystal system = tetragonal
Total magnetization = 0.00 μB/atom

a = 5.1254 Å, b = 5.1254 Å, c = 6.1947 Å
α = 90.00°, β = 90.00°, γ = 90.00°
Space group I4/mcm (No. 140)
Unique sites:
1 In 0.0000 0.0000 0.2500 (multiplicity 4)
2 C 0.0885 0.4115 0.0000 (multiplicity 8)

3.
VASP calculation (GGA-PBE) on crystalline In2C at its relaxed geometry.

Calculated values
Crystal system = hexagonal
Total magnetization = 0.00 μB/atom

a = 6.1907 Å, b = 6.1907 Å, c = 5.4018 Å
α = 90.00°, β = 90.00°, γ = 120.00°
Space group P-62m (No. 189)
Unique sites:
1 In 0.0000 0.2930 0.0000 (multiplicity 3)
2 In 0.0000 0.6258 0.5000 (multiplicity 3)
3 C 0.0000 0.0000 0.5000 (multiplicity 1)
4 C 0.3333 0.6667 0.0000 (multiplicity 2)

| no. | total DFT energy (no corrections) (eV per atom) | density of states at the Fermi level (states/eV per cell) | theoretical density (g/cm3) |
| --- | --- | --- | --- |
| 1 | -3.126 | 3.232 | 7.06 |
| 2 | -5.567 | 2.563 | 5.67 |
| 3 | -3.708 | 5.917 | 6.71 |